# Th2ScIr2 (PBE, relaxed)
# - Formation energy: -0.8392 eV per atom
# - Energy: -86.2 eV/cell
# - Space group: P4/mbm (127)
# - M_tot: 0.000 μB/atom
data_Th2ScIr2
_chemical_formula_sum 'Th4 Sc2 Ir4'
_space_group_name_H-M_alt 'P 1'
_space_group_IT_number 1
_space_group_name_Hall 'P 1'
_cell_length_a 3.9726
_cell_length_b 7.6600
_cell_length_c 7.6600
_cell_angle_alpha 90.00
_cell_angle_beta 90.00
_cell_angle_gamma 90.00
loop_
_atom_site_label
_atom_site_type_symbol
_atom_site_fract_x
_atom_site_fract_y
_atom_site_fract_z
Th1 Th 0.5000 0.3310 0.1690
Th2 Th 0.5000 0.1690 0.6690
Th3 Th 0.5000 0.8310 0.3310
Th4 Th 0.5000 0.6690 0.8310
Ir1 Ir 0.0000 0.8616 0.6384
Ir2 Ir 0.0000 0.6384 0.1384
Ir3 Ir 0.0000 0.3616 0.8616
Ir4 Ir 0.0000 0.1384 0.3616
Sc1 Sc 0.0000 0.5000 0.5000
Sc2 Sc 0.0000 0.0000 0.0000